Ac5DyAu6 | PBE | optimized geometry

Energy of formation: -9.23 eV/f.u.
DOS at the Fermi energy: 0.545 states/eV per atom

Cell and atoms, written as CIF:
```
data_Ac5DyAu6
_space_group_name_H-M_alt 'C 1 2/m 1'
_space_group_IT_number 12
_space_group_name_Hall '-C 2y'
_cell_length_a 18.184
_cell_length_b 5.457
_cell_length_c 7.682
_cell_angle_alpha 90.00
_cell_angle_beta 114.97
_cell_angle_gamma 90.00
loop_
_atom_site_label
_atom_site_type_symbol
_atom_site_fract_x
_atom_site_fract_y
_atom_site_fract_z
Ac1 Ac 0.000 0.000 0.000
Ac2 Ac 0.166 0.500 0.166
Ac3 Ac 0.168 0.500 0.667
Dy1 Dy 0.000 0.000 0.500
Au1 Au 0.000 0.500 0.274
Au2 Au 0.157 0.000 0.421
Au3 Au 0.157 0.000 0.893
```

Ac2Dy12Au7 | PBE | optimized geometry

Energy of formation: -12.34 eV/f.u.
DOS at the Fermi energy: 0.882 states/eV per atom

Cell and atoms, written as CIF:
```
data_Ac2Dy12Au7
_space_group_name_H-M_alt 'P -6'
_space_group_IT_number 174
_space_group_name_Hall 'P -6'
_cell_length_a 11.7955
_cell_length_b 11.7955
_cell_length_c 4.9157
_cell_angle_alpha 90.00
_cell_angle_beta 90.00
_cell_angle_gamma 120.00
loop_
_atom_site_label
_atom_site_type_symbol
_atom_site_fract_x
_atom_site_fract_y
_atom_site_fract_z
Ac1 Ac 0.0000 0.0000 0.0000
Ac2 Ac 0.3333 0.6667 0.5000
Dy1 Dy 0.0514 0.2671 0.5000
Dy2 Dy 0.1111 0.7032 0.0000
Dy3 Dy 0.3882 0.1803 0.0000
Dy4 Dy 0.5498 0.4362 0.5000
Au1 Au 0.0732 0.4421 0.0000
Au2 Au 0.2723 0.2258 0.5000
Au3 Au 0.6667 0.3333 0.0000
```

AcDy3Au2 | PBE | optimized geometry

Energy of formation: -3.00 eV/f.u.
DOS at the Fermi energy: 1.018 states/eV per atom

Cell and atoms, written as CIF:
```
data_AcDy3Au2
_space_group_name_H-M_alt 'C 1 2/m 1'
_space_group_IT_number 12
_space_group_name_Hall '-C 2y'
_cell_length_a 17.132
_cell_length_b 5.205
_cell_length_c 8.872
_cell_angle_alpha 90.00
_cell_angle_beta 118.31
_cell_angle_gamma 90.00
loop_
_atom_site_label
_atom_site_type_symbol
_atom_site_fract_x
_atom_site_fract_y
_atom_site_fract_z
Ac1 Ac 0.139 0.000 0.213
Dy1 Dy 0.061 0.000 0.727
Dy2 Dy 0.113 0.500 0.508
Dy3 Dy 0.197 0.500 0.993
Au1 Au 0.009 0.500 0.850
Au2 Au 0.205 0.000 0.633
```

AcDyAu | PBE | optimized geometry

Energy of formation: -1.11 eV/f.u.
DOS at the Fermi energy: 0.873 states/eV per atom

Cell and atoms, written as CIF:
```
data_AcDyAu
_space_group_name_H-M_alt 'I 4/m m m'
_space_group_IT_number 139
_space_group_name_Hall '-I 4 2'
_cell_length_a 4.034
_cell_length_b 4.034
_cell_length_c 24.492
_cell_angle_alpha 90.00
_cell_angle_beta 90.00
_cell_angle_gamma 90.00
loop_
_atom_site_label
_atom_site_type_symbol
_atom_site_fract_x
_atom_site_fract_y
_atom_site_fract_z
Ac1 Ac 0.000 0.000 0.193
Dy1 Dy 0.000 0.000 0.419
Au1 Au 0.000 0.000 0.055
```

AcDy2Au | PBE | optimized geometry

Energy of formation: -1.14 eV/f.u.
DOS at the Fermi energy: 1.203 states/eV per atom

Cell and atoms, written as CIF:
```
data_AcDy2Au
_space_group_name_H-M_alt 'R 3 m'
_space_group_IT_number 160
_space_group_name_Hall 'R 3 -2"'
_cell_length_a 3.9204
_cell_length_b 3.9204
_cell_length_c 29.8393
_cell_angle_alpha 90.00
_cell_angle_beta 90.00
_cell_angle_gamma 120.00
loop_
_atom_site_label
_atom_site_type_symbol
_atom_site_fract_x
_atom_site_fract_y
_atom_site_fract_z
Ac1 Ac 0.0000 0.0000 0.0000
Dy1 Dy 0.0000 0.0000 0.2316
Dy2 Dy 0.0000 0.0000 0.4397
Au1 Au 0.0000 0.0000 0.8362
```

AcDy3Au2 | PBE | optimized geometry

Energy of formation: -3.47 eV/f.u.
DOS at the Fermi energy: 1.116 states/eV per atom

Cell and atoms, written as CIF:
```
data_AcDy3Au2
_space_group_name_H-M_alt 'P m c 21'
_space_group_IT_number 26
_space_group_name_Hall 'P 2c -2'
_cell_length_a 5.020
_cell_length_b 9.116
_cell_length_c 7.456
_cell_angle_alpha 90.00
_cell_angle_beta 90.00
_cell_angle_gamma 90.00
loop_
_atom_site_label
_atom_site_type_symbol
_atom_site_fract_x
_atom_site_fract_y
_atom_site_fract_z
Ac1 Ac 0.000 0.077 0.000
Dy1 Dy 0.000 0.338 0.633
Dy2 Dy 0.500 0.181 0.341
Dy3 Dy 0.500 0.430 0.970
Au1 Au 0.000 0.358 0.246
Au2 Au 0.500 0.162 0.731
```

AcDy2Au3 | PBE | optimized geometry

Energy of formation: -4.91 eV/f.u.
DOS at the Fermi energy: 0.485 states/eV per atom

Cell and atoms, written as CIF:
```
data_AcDy2Au3
_space_group_name_H-M_alt 'P 4/m m m'
_space_group_IT_number 123
_space_group_name_Hall '-P 4 2'
_cell_length_a 3.680
_cell_length_b 3.680
_cell_length_c 11.205
_cell_angle_alpha 90.00
_cell_angle_beta 90.00
_cell_angle_gamma 90.00
loop_
_atom_site_label
_atom_site_type_symbol
_atom_site_fract_x
_atom_site_fract_y
_atom_site_fract_z
Ac1 Ac 0.000 0.000 0.000
Dy1 Dy 0.000 0.000 0.341
Au1 Au 0.500 0.500 0.197
Au2 Au 0.500 0.500 0.500
```

AcDyGaAu | PBE | optimized geometry

Energy of formation: -2.35 eV/f.u.
DOS at the Fermi energy: 0.730 states/eV per atom

Cell and atoms, written as CIF:
```
data_AcDyGaAu
_space_group_name_H-M_alt 'F -4 3 m'
_space_group_IT_number 216
_space_group_name_Hall 'F -4 2 3'
_cell_length_a 7.565
_cell_length_b 7.565
_cell_length_c 7.565
_cell_angle_alpha 90.00
_cell_angle_beta 90.00
_cell_angle_gamma 90.00
loop_
_atom_site_label
_atom_site_type_symbol
_atom_site_fract_x
_atom_site_fract_y
_atom_site_fract_z
Ac1 Ac 0.000 0.000 0.000
Dy1 Dy 0.000 0.000 0.500
Ga1 Ga 0.250 0.250 0.250
Au1 Au 0.250 0.250 0.750
```

> The lowest DOS at the Fermi energy belongs to which entry?

AcDy2Au3